Entry 1:
A plane-wave DFT calculation with PBE was carried out for LaLuAu2 after structural relaxation. Values from VASP.

The structure in Quantum ESPRESSO input format:
```
&SYSTEM
  ibrav = 0, nat = 4, ntyp = 3
/
ATOMIC_SPECIES
Lu 174.97 Lu.upf
Au 196.97 Au.upf
La 138.91 La.upf
CELL_PARAMETERS angstrom
3.584 0.000 0.000
0.000 3.584 0.000
0.000 0.000 7.539
ATOMIC_POSITIONS angstrom
Lu 1.792 1.792 0.000
Au 0.000 0.000 5.911
Au 0.000 0.000 1.628
La 1.792 1.792 3.769
```

energy of formation = -848 meV per atom
total energy = -4.85 eV/atom

Entry 2:
A plane-wave DFT calculation with PBE was carried out for La2LuAu after structural relaxation. Values from VASP.

The structure in Quantum ESPRESSO input format:
```
&SYSTEM
  ibrav = 0, nat = 4, ntyp = 3
/
ATOMIC_SPECIES
Lu 174.97 Lu.upf
Au 196.97 Au.upf
La 138.91 La.upf
CELL_PARAMETERS angstrom
-1.706 1.410 3.152
0.133 -3.486 1.632
7.325 1.766 3.175
ATOMIC_POSITIONS angstrom
Lu 2.876 -0.155 3.980
Au -0.787 -1.038 2.392
La 5.722 1.379 2.480
La 1.603 0.386 0.695
```

energy of formation = -341 meV per atom
total energy = -4.75 eV/atom

Entry 3:
A plane-wave DFT calculation with PBE was carried out for LaLuOsAu after structural relaxation. Values from VASP.

The structure in Quantum ESPRESSO input format:
```
&SYSTEM
  ibrav = 0, nat = 4, ntyp = 4
/
ATOMIC_SPECIES
Os 190.23 Os.upf
Lu 174.97 Lu.upf
Au 196.97 Au.upf
La 138.91 La.upf
CELL_PARAMETERS angstrom
5.023 0.000 0.000
2.512 4.350 0.000
2.512 1.450 4.102
ATOMIC_POSITIONS angstrom
Os 5.023 2.900 2.051
Lu 2.512 1.450 1.025
Au 0.000 0.000 0.000
La 7.535 4.350 3.076
```

energy of formation = -381 meV per atom
total energy = -6.37 eV/atom